# Sb2MoOs

A relaxed structure of Sb2MoOs (GGA-PBE, Alexandria).

Total magnetic moment ... 0.00 μB/atom
Energy relative to the lowest polymorph listed for this composition ... 588 meV per atom
Space-group type ... P2/m

a = 3.120 Å, b = 4.263 Å, c = 5.754 Å
α = 90.00°, β = 92.76°, γ = 90.00°
Sites, in units of the cell vectors:
Sb 0.169 0.000 0.246
Sb 0.831 0.000 0.754
Mo 0.500 0.500 0.000
Os 0.000 0.500 0.500